# 1
First-principles (PBE) data for a geometry-optimized Ta2SbTe structure, as listed in the Alexandria database.

Geometry as CIF:
```
data_Ta2SbTe
_symmetry_space_group_name_H-M 'I -4 m 2'
_symmetry_Int_Tables_number 119
_symmetry_space_group_name_Hall 'I -4 -2'
_cell_length_a 4.4283
_cell_length_b 4.4283
_cell_length_c 8.4627
_cell_angle_alpha 90.00
_cell_angle_beta 90.00
_cell_angle_gamma 90.00
loop_
_atom_site_label
_atom_site_fract_x
_atom_site_fract_y
_atom_site_fract_z
Ta1 0.0000 0.0000 0.0000
Ta2 0.0000 0.5000 0.2500
Sb1 0.0000 0.0000 0.5000
Te1 0.0000 0.5000 0.7500
```

Values from the calculation:
VASP energy in eV for the cell shown: -58.31
Offset from the most stable computed form in eV/atom: 0.512
Formation energy (no corrections) in eV per atom: 0.453

---

# 2
First-principles (PBE) data for a geometry-optimized CsRb2InAg structure, as listed in the Alexandria database.

Geometry as CIF:
```
data_CsRb2InAg
_symmetry_space_group_name_H-M 'P 4/m m m'
_symmetry_Int_Tables_number 123
_symmetry_space_group_name_Hall '-P 4 2'
_cell_length_a 7.2849
_cell_length_b 7.2849
_cell_length_c 5.4481
_cell_angle_alpha 90.00
_cell_angle_beta 90.00
_cell_angle_gamma 90.00
loop_
_atom_site_label
_atom_site_fract_x
_atom_site_fract_y
_atom_site_fract_z
Cs1 0.0000 0.0000 0.0000
Rb1 0.0000 0.5000 0.5000
In1 0.5000 0.5000 0.5000
Ag1 0.5000 0.5000 0.0000
```

Values from the calculation:
VASP energy in eV for the cell shown: -7.82
ΔH_f (0 K) in meV/atom: 113
Offset from the most stable computed form in eV/atom: 0.053

---

# 3
First-principles (PBE) data for a geometry-optimized BaCrCu3 structure, as listed in the Alexandria database.

Geometry as CIF:
```
data_BaCrCu3
_symmetry_space_group_name_H-M 'P m -3 m'
_symmetry_Int_Tables_number 221
_symmetry_space_group_name_Hall '-P 4 2 3'
_cell_length_a 4.8763
_cell_length_b 4.8763
_cell_length_c 4.8763
_cell_angle_alpha 90.00
_cell_angle_beta 90.00
_cell_angle_gamma 90.00
loop_
_atom_site_label
_atom_site_fract_x
_atom_site_fract_y
_atom_site_fract_z
Ba1 0.0000 0.0000 0.0000
Cr1 0.5000 0.5000 0.5000
Cu1 0.0000 0.5000 0.5000
```

Values from the calculation:
VASP energy in eV for the cell shown: -21.40
ΔH_f (0 K) in meV/atom: 487
Offset from the most stable computed form in eV/atom: 0.000

---

# 4
First-principles (PBE) data for a geometry-optimized MnRuAuCS structure, as listed in the Alexandria database.

Geometry as CIF:
```
data_MnRuAuCS
_symmetry_space_group_name_H-M 'P 1'
_symmetry_Int_Tables_number 1
_cell_length_a 2.7954
_cell_length_b 5.1405
_cell_length_c 5.1585
_cell_angle_alpha 82.32
_cell_angle_beta 74.58
_cell_angle_gamma 89.65
loop_
_symmetry_equiv_pos_as_xyz
'x,y,z'
loop_
_atom_site_label
_atom_site_fract_x
_atom_site_fract_y
_atom_site_fract_z
Mn1 0.0000 0.0000 0.0000
Ru1 0.7431 0.0585 0.5304
Au1 0.1928 0.5276 0.6133
C1 0.3816 0.0482 0.2440
S1 0.9636 0.5940 0.0883
```

Values from the calculation:
VASP energy in eV for the cell shown: -32.55
Offset from the most stable computed form in eV/atom: 0.371
Formation energy (no corrections) in eV per atom: 0.505

---

# 5
First-principles (PBE) data for a geometry-optimized Sm2Zn5Cu3 structure, as listed in the Alexandria database.

Geometry as CIF:
```
data_Sm2Zn5Cu3
_symmetry_space_group_name_H-M 'I b a m'
_symmetry_Int_Tables_number 72
_symmetry_space_group_name_Hall '-I 2 2c'
_cell_length_a 10.9012
_cell_length_b 11.3669
_cell_length_c 5.8024
_cell_angle_alpha 90.00
_cell_angle_beta 90.00
_cell_angle_gamma 90.00
loop_
_atom_site_label
_atom_site_fract_x
_atom_site_fract_y
_atom_site_fract_z
Sm1 0.2476 0.1279 0.0000
Zn1 0.0000 0.0000 0.2500
Zn2 0.0000 0.2508 0.2500
Zn3 0.1380 0.3816 0.0000
Cu1 0.0000 0.5000 0.2500
Cu2 0.1376 0.1251 0.5000
```

Values from the calculation:
VASP energy in eV for the cell shown: -122.42
ΔH_f (0 K) in meV/atom: -251
Offset from the most stable computed form in eV/atom: 0.000

---

# 6
First-principles (PBE) data for a geometry-optimized CePaNiOs structure, as listed in the Alexandria database.

Geometry as CIF:
```
data_CePaNiOs
_symmetry_space_group_name_H-M 'F -4 3 m'
_symmetry_Int_Tables_number 216
_symmetry_space_group_name_Hall 'F -4 2 3'
_cell_length_a 6.8422
_cell_length_b 6.8422
_cell_length_c 6.8422
_cell_angle_alpha 90.00
_cell_angle_beta 90.00
_cell_angle_gamma 90.00
loop_
_atom_site_label
_atom_site_fract_x
_atom_site_fract_y
_atom_site_fract_z
Ce1 0.0000 0.0000 0.0000
Pa1 0.0000 0.0000 0.5000
Ni1 0.2500 0.2500 0.7500
Os1 0.2500 0.2500 0.2500
```

Values from the calculation:
VASP energy in eV for the cell shown: -132.74
ΔH_f (0 K) in meV/atom: -186